[1]
The following is a DFT calculation (PBE) of an optimized crystal structure of AcTm2Rh.

Lattice parameters (Å, degrees): 3.9438 3.9438 9.5599 78.10 78.10 60.00
Closest atoms and distances in Å follow each position.
Fractional coordinates of all 4 atoms:
Tm  0.7201  0.7201  0.8398  3 Rh 2.72
Tm  0.2799  0.2799  0.1602  3 Rh 2.72
Ac  0.5000  0.5000  0.5000  6 Tm 3.89, 6 Ac 3.94
Rh  0.0000  0.0000  0.0000  6 Tm 2.72

Values from the calculation:
Energy above the most stable polymorph in this dataset = 26 meV/atom
Symmetry = R-3m
Formation enthalpy at 0 K = -1.6 eV/f.u.

[2]
The following is a DFT calculation (PBE) of an optimized crystal structure of Zn2CuSb.

Lattice parameters (Å, degrees): 4.6180 4.6180 4.5415 76.51 76.51 50.66
Closest atoms and distances in Å follow each position.
Fractional coordinates of all 4 atoms:
Zn  0.5144  0.5144  0.4263  3 Cu 2.53-2.76, 2 Zn 2.59, 1 Sb 2.74
Zn  0.9856  0.9856  0.0737  3 Cu 2.53-2.76, 2 Zn 2.59, 1 Sb 2.74
Sb  0.7500  0.7500  0.7500  6 Zn 2.74-3.04, 4 Cu 3.01
Cu  0.2500  0.2500  0.2500  6 Zn 2.53-2.76

Values from the calculation:
Symmetry = C2/m
E_form (uncorrected) = 50 kJ/mol of formula units

[3]
The following is a DFT calculation (PBE) of an optimized crystal structure of PtRhN.

Lattice parameters (Å, degrees): 5.5152 2.9970 9.7962 90.00 100.33 90.00
Closest atoms and distances in Å follow each position.
Fractional coordinates of all 12 atoms:
Pt  0.5402  0.5000  0.4125  2 N 2.02
Pt  0.7492  0.0000  0.6642  1 N 1.99
Pt  0.7492  0.5000  0.1642  1 N 1.99
Pt  0.5402  0.0000  0.9125  2 N 2.02
Rh  0.2956  0.0000  0.1349  3 N 1.96-1.97
Rh  0.9862  0.0000  0.3924  2 N 1.92-1.97
Rh  0.9862  0.5000  0.8924  2 N 1.92-1.97
Rh  0.2956  0.5000  0.6349  3 N 1.96-1.97
N  0.3111  0.5000  0.8361  2 Rh 1.96-1.97, 2 Pt 2.02
N  0.0639  0.0000  0.5918  3 Rh 1.92-1.97, 1 Pt 1.99
N  0.0639  0.5000  0.0918  3 Rh 1.92-1.97, 1 Pt 1.99
N  0.3111  0.0000  0.3361  2 Rh 1.96-1.97, 2 Pt 2.02

Values from the calculation:
Energy above the most stable polymorph in this dataset = 177 meV/atom
Symmetry = Cm
E_form (uncorrected) = 101 kJ/mol of formula units